A plane-wave DFT calculation with PBE was carried out for crystalline Co2ReAu at its relaxed geometry.

Space group   No. 44
Final energy   -7.080 eV/atom
Spin magnetization   2.135 μB/cell
Relative energy among the computed polymorphs   0.252 eV per atom
ΔE_f   1.62 eV/f.u.

abc: 5.2496 5.2496 5.2496
angles: 150.14 130.38 58.99
With the nearest neighbours (Å) after each atom.
Positions (direct):
Co: 0.0000 0.0000 0.0000  2 Co 2.38, 2 Re 2.52, 4 Au 2.59
Co: 0.7852 0.2852 0.5000  2 Co 2.38, 4 Re 2.63
Re: 0.2331 0.7331 0.5000  6 Co 2.52-2.63, 2 Re 2.70
Au: 0.5191 0.5191 0.0000  6 Co 2.59-2.78, 2 Au 2.70

***

A plane-wave DFT calculation with PBE was carried out for crystalline HRu2W at its relaxed geometry.

Space group   No. 123
Final energy   -8.383 eV/atom
Spin magnetization   0.000 μB/cell
Relative energy among the computed polymorphs   0.282 eV per atom

abc: 2.8712 2.8712 5.9244
angles: 90.00 90.00 90.00
With the nearest neighbours (Å) after each atom.
Positions (direct):
H: 0.0000 0.0000 0.0000  8 Ru 2.38
Ru: 0.5000 0.5000 0.2083  4 H 2.38, 1 Ru 2.47
Ru: 0.5000 0.5000 0.7917  4 H 2.38, 1 Ru 2.47
W: 0.0000 0.0000 0.5000  8 Ru 2.67, 4 W 2.87, 2 H 2.96

***

A plane-wave DFT calculation with PBE was carried out for crystalline PrDyLu at its relaxed geometry.

Space group   No. 107
Final energy   -4.602 eV/atom
Spin magnetization   0.000 μB/cell
Relative energy among the computed polymorphs   0.000 eV per atom
ΔE_f   0.10 eV/f.u.

abc: 7.9815 7.9815 7.9815
angles: 154.09 154.09 36.97
With the nearest neighbours (Å) after each atom.
Positions (direct):
Pr: 0.0000 0.0000 0.0000  4 Pr 3.58, 4 Lu 3.59, 4 Dy 3.62
Dy: 0.3293 0.3293 0.0000  4 Lu 3.52, 4 Dy 3.58, 4 Pr 3.62
Lu: 0.6681 0.6681 0.0000  4 Dy 3.52, 4 Lu 3.58, 4 Pr 3.59

***

A plane-wave DFT calculation with PBE was carried out for crystalline BBrCl3 at its relaxed geometry.

Energy relative to the elements, uncorrected   1119 meV/atom
Space group   No. 221
Final energy   -1.659 eV/atom
Spin magnetization   0.000 μB/cell
Relative energy among the computed polymorphs   0.565 eV per atom

abc: 5.2428 5.2428 5.2428
angles: 90.00 90.00 90.00
With the nearest neighbours (Å) after each atom.
Positions (direct):
B: 0.0000 0.0000 0.0000  12 Cl 3.71
Br: 0.5000 0.5000 0.5000  6 Cl 2.62
Cl: 0.0000 0.5000 0.5000  2 Br 2.62
Cl: 0.5000 0.0000 0.5000  2 Br 2.62
Cl: 0.5000 0.5000 0.0000  2 Br 2.62

***

A plane-wave DFT calculation with PBE was carried out for crystalline Rb2HfSnO6 at its relaxed geometry.

Energy relative to the elements, uncorrected   -1872 meV/atom
Space group   No. 225
Final energy   -6.436 eV/atom
Spin magnetization   2.040 μB/cell

abc: 5.9497 5.9497 5.9497
angles: 60.00 60.00 60.00
With the nearest neighbours (Å) after each atom.
Positions (direct):
Rb: 0.2500 0.2500 0.2500  12 O 2.97
Rb: 0.7500 0.7500 0.7500  12 O 2.97
Hf: 0.0000 0.0000 0.0000  6 O 2.10
Sn: 0.5000 0.5000 0.5000  6 O 2.11
O: 0.2493 0.2493 0.7507  1 Hf 2.10, 1 Sn 2.11
O: 0.2493 0.7507 0.2493  1 Hf 2.10, 1 Sn 2.11
O: 0.2493 0.7507 0.7507  1 Hf 2.10, 1 Sn 2.11
O: 0.7507 0.2493 0.2493  1 Hf 2.10, 1 Sn 2.11
O: 0.7507 0.2493 0.7507  1 Hf 2.10, 1 Sn 2.11
O: 0.7507 0.7507 0.2493  1 Hf 2.10, 1 Sn 2.11

***

A plane-wave DFT calculation with PBE was carried out for crystalline K2Al2Ge at its relaxed geometry.

Space group   No. 127
Final energy   -2.708 eV/atom
Spin magnetization   0.000 μB/cell
ΔE_f   0.76 eV/f.u.

abc: 6.9524 6.9524 5.9063
angles: 90.00 90.00 90.00
With the nearest neighbours (Å) after each atom.
Positions (direct):
K: 0.1871 0.3129 0.0000  6 Al 3.45-3.71, 5 K 3.58-3.68
K: 0.3129 0.8129 0.0000  6 Al 3.45-3.71, 5 K 3.58-3.68
K: 0.6871 0.1871 0.0000  6 Al 3.45-3.71, 5 K 3.58-3.68
K: 0.8129 0.6871 0.0000  6 Al 3.45-3.71, 5 K 3.58-3.68
Al: 0.1325 0.6325 0.5000  1 Al 2.60, 2 Ge 2.72
Al: 0.3675 0.1325 0.5000  1 Al 2.60, 2 Ge 2.72
Al: 0.6325 0.8675 0.5000  1 Al 2.60, 2 Ge 2.72
Al: 0.8675 0.3675 0.5000  1 Al 2.60, 2 Ge 2.72
Ge: 0.0000 0.0000 0.5000  4 Al 2.72
Ge: 0.5000 0.5000 0.5000  4 Al 2.72

***

A plane-wave DFT calculation with PBE was carried out for crystalline Er5TmIn at its relaxed geometry.

Space group   No. 44
Final energy   -3.542 eV/atom
Spin magnetization   0.000 μB/cell
ΔE_f   5.23 eV/f.u.

abc: 7.6016 7.6016 7.6016
angles: 116.90 82.35 132.90
With the nearest neighbours (Å) after each atom.
Positions (direct):
Er: 0.0000 0.0000 0.0000  2 In 2.90-3.17, 2 Er 3.08
Er: 0.2930 0.6091 0.3161  1 In 2.87, 2 Er 2.93-3.08
Er: 0.2930 0.9770 0.6839  1 In 2.87, 2 Er 2.93-3.08
Er: 0.4263 0.6746 0.7517  1 In 2.99, 2 Er 3.31
Er: 0.9229 0.6746 0.2483  1 In 2.99, 2 Er 3.31
Tm: 0.7958 0.2958 0.5000  6 Er 3.36-3.69
In: 0.5224 0.5224 0.0000  6 Er 2.87-3.17

***

A plane-wave DFT calculation with PBE was carried out for crystalline La2Sm4Sn3O2 at its relaxed geometry.

Energy relative to the elements, uncorrected   -1530 meV/atom
Space group   No. 139
Final energy   -6.135 eV/atom
Spin magnetization   0.000 μB/cell

abc: 13.4475 13.4475 13.4475
angles: 159.41 159.41 29.28
With the nearest neighbours (Å) after each atom.
Positions (direct):
La: 0.1934 0.1934 0.0000  1 O 2.50
La: 0.8066 0.8066 0.0000  1 O 2.50
Sm: 0.0812 0.5812 0.5000  2 O 2.44
Sm: 0.4188 0.9188 0.5000  2 O 2.44
Sm: 0.5812 0.0812 0.5000  2 O 2.44
Sm: 0.9188 0.4188 0.5000  2 O 2.44
Sn: 0.3257 0.3257 0.0000  4 Sm 3.41, 5 La 3.43-3.44
Sn: 0.5000 0.5000 0.0000  8 Sm 3.20
Sn: 0.6743 0.6743 0.0000  4 Sm 3.41, 5 La 3.43-3.44
O: 0.0973 0.0973 0.0000  4 Sm 2.44, 1 La 2.50
O: 0.9027 0.9027 0.0000  4 Sm 2.44, 1 La 2.50

***

A plane-wave DFT calculation with PBE was carried out for crystalline ZnSbCl2 at its relaxed geometry.

Energy relative to the elements, uncorrected   -210 meV/atom
Space group   No. 12
Final energy   -2.482 eV/atom
Spin magnetization   0.000 μB/cell
Relative energy among the computed polymorphs   0.339 eV per atom

abc: 5.2979 5.2979 4.7198
angles: 112.43 112.43 108.19
With the nearest neighbours (Å) after each atom.
Positions (direct):
Zn: 0.0000 0.0000 0.0000  4 Cl 2.80, 2 Sb 3.11
Sb: 0.5000 0.5000 0.0000  4 Cl 2.80, 2 Zn 3.11
Cl: 0.0000 0.5000 0.5000  2 Sb 2.80, 2 Zn 2.80, 2 Cl 3.11
Cl: 0.5000 0.0000 0.5000  2 Sb 2.80, 2 Zn 2.80, 2 Cl 3.11

***

A plane-wave DFT calculation with PBE was carried out for crystalline NaHg2Bi2 at its relaxed geometry.

Space group   No. 127
Final energy   -1.957 eV/atom
Spin magnetization   0.000 μB/cell
Relative energy among the computed polymorphs   0.100 eV per atom
ΔE_f   -0.10 eV/f.u.

abc: 8.9076 8.9076 3.7783
angles: 90.00 90.00 90.00
With the nearest neighbours (Å) after each atom.
Positions (direct):
Na: 0.0000 0.0000 0.0000  4 Bi 3.45, 2 Na 3.78, 8 Hg 3.84
Na: 0.5000 0.5000 0.0000  4 Bi 3.45, 2 Na 3.78, 8 Hg 3.84
Hg: 0.1605 0.3395 0.5000  6 Bi 3.15-3.27
Hg: 0.3395 0.8395 0.5000  6 Bi 3.15-3.27
Hg: 0.6605 0.1605 0.5000  6 Bi 3.15-3.27
Hg: 0.8395 0.6605 0.5000  6 Bi 3.15-3.27
Bi: 0.1390 0.6390 0.0000  6 Hg 3.15-3.27, 2 Na 3.45, 1 Bi 3.50
Bi: 0.3610 0.1390 0.0000  6 Hg 3.15-3.27, 2 Na 3.45, 1 Bi 3.50
Bi: 0.6390 0.8610 0.0000  6 Hg 3.15-3.27, 2 Na 3.45, 1 Bi 3.50
Bi: 0.8610 0.3610 0.0000  6 Hg 3.15-3.27, 2 Na 3.45, 1 Bi 3.50

***

A plane-wave DFT calculation with PBE was carried out for crystalline NaYInRe2 at its relaxed geometry.

Space group   No. 123
Final energy   -5.189 eV/atom
Spin magnetization   2.878 μB/cell
ΔE_f   9.47 eV/f.u.

abc: 4.7769 4.7769 4.7836
angles: 90.00 90.00 90.00
With the nearest neighbours (Å) after each atom.
Positions (direct):
Na: 0.0000 0.0000 0.0000  4 Re 2.39, 2 In 2.39
Y: 0.5000 0.5000 0.5000  4 In 3.38, 8 Re 3.38
In: 0.0000 0.0000 0.5000  2 Na 2.39
Re: 0.0000 0.5000 0.0000  2 Na 2.39
Re: 0.5000 0.0000 0.0000  2 Na 2.39

***

A plane-wave DFT calculation with PBE was carried out for crystalline HfAl2Ga4 at its relaxed geometry.

Space group   No. 139
Final energy   -3.818 eV/atom
Spin magnetization   0.000 μB/cell
ΔE_f   2.82 eV/f.u.

abc: 7.4985 7.4985 7.4985
angles: 139.08 139.08 59.25
With the nearest neighbours (Å) after each atom.
Positions (direct):
Hf: 0.0000 0.0000 0.0000  6 Ga 2.62-2.67
Al: 0.3999 0.3999 0.0000  1 Ga 2.55, 1 Al 2.61
Al: 0.6001 0.6001 0.0000  1 Ga 2.55, 1 Al 2.61
Ga: 0.0000 0.5000 0.5000  2 Hf 2.62, 4 Al 2.93
Ga: 0.2045 0.2045 0.0000  1 Al 2.55, 1 Hf 2.67
Ga: 0.5000 0.0000 0.5000  2 Hf 2.62, 4 Al 2.93
Ga: 0.7955 0.7955 0.0000  1 Al 2.55, 1 Hf 2.67